The following is a PBE calculation of Ba8Pt3Br4F after structural relaxation, from Alexandria via LeMat-Bulk.

abc: 15.676 9.042 9.823
angles: 90.00 122.12 90.00
Space group C2/m (No. 12)
Symmetry-distinct sites (fractional):
Ba: 0.013 0.249 0.292 x8
Ba: 0.237 0.000 0.709 x4
Ba: 0.238 0.500 0.713 x4
Pt: 0.000 0.500 0.500 x2
Pt: 0.250 0.250 0.500 x4
Br: 0.000 0.000 0.000 x2
Br: 0.000 0.500 0.000 x2
Br: 0.250 0.250 0.000 x4
F: 0.000 0.000 0.500 x2

Computed properties:
calculated total energy	-4.111	eV/atom
formation energy (no corrections)	-1.48	eV per atom
spin magnetization	0.0	Bohr magnetons per cell

The following is a PBE calculation of Ba6Pt2Br3F after structural relaxation, from Alexandria via LeMat-Bulk.

abc: 7.785 13.474 8.713
angles: 90.00 107.39 90.00
Space group C2/m (No. 12)
Symmetry-distinct sites (fractional):
Ba: 0.235 0.165 0.209 x8
Ba: 0.239 0.500 0.210 x4
Pt: 0.000 0.333 0.000 x4
Br: 0.000 0.168 0.500 x4
Br: 0.000 0.500 0.500 x2
F: 0.000 0.000 0.000 x2

Computed properties:
calculated total energy	-4.096	eV/atom
formation energy (no corrections)	-1.55	eV per atom
spin magnetization	0.0	Bohr magnetons per cell

The following is a PBE calculation of Rb2BaBrF6 after structural relaxation, from Alexandria via LeMat-Bulk.

abc: 6.605 6.605 11.587
angles: 90.00 90.00 90.00
Space group I4/mmm (No. 139)
Symmetry-distinct sites (fractional):
Rb: 0.000 0.500 0.250 x4
Ba: 0.000 0.000 0.000 x2
Br: 0.000 0.000 0.500 x2
F: 0.000 0.000 0.218 x4
F: 0.230 0.230 0.500 x8

Computed properties:
calculated total energy	-3.926	eV/atom
formation energy (no corrections)	-2.25	eV per atom
spin magnetization	2.0	Bohr magnetons per cell

The following is a PBE calculation of Rb2BaBr6F after structural relaxation, from Alexandria via LeMat-Bulk.

abc: 8.943 8.943 10.524
angles: 90.00 90.00 90.00
Space group I4/mmm (No. 139)
Symmetry-distinct sites (fractional):
Rb: 0.000 0.500 0.250 x4
Ba: 0.000 0.000 0.000 x2
Br: 0.000 0.000 0.300 x4
Br: 0.245 0.245 0.000 x8
F: 0.000 0.000 0.500 x2

Computed properties:
calculated total energy	-2.737	eV/atom
formation energy (no corrections)	-1.16	eV per atom
spin magnetization	2.0	Bohr magnetons per cell

The following is a PBE calculation of RbBaBr2F8 after structural relaxation, from Alexandria via LeMat-Bulk.

abc: 12.642 6.014 6.663
angles: 90.00 93.31 90.00
Space group C2/m (No. 12)
Symmetry-distinct sites (fractional):
Rb: 0.000 0.000 0.000 x2
Ba: 0.000 0.500 0.500 x2
Br: 0.219 0.500 0.079 x4
F: 0.107 0.500 0.868 x4
F: 0.115 0.258 0.274 x8
F: 0.168 0.000 0.726 x4

Computed properties:
calculated total energy	-3.482	eV/atom
formation energy (no corrections)	-1.71	eV per atom
spin magnetization	4.9	Bohr magnetons per cell

The following is a PBE calculation of Ba8Rh3Br3F after structural relaxation, from Alexandria via LeMat-Bulk.

abc: 9.0370 9.0370 24.4221
angles: 90.00 90.00 120.00
Space group R-3m (No. 166, hexagonal axes)
Symmetry-distinct sites (fractional):
Ba: 0.0000 0.0000 0.2390 x6
Ba: 0.0029 0.5015 0.7651 x18
Rh: 0.0000 0.5000 0.5000 x9
Br: 0.0000 0.5000 0.0000 x9
F: 0.0000 0.0000 0.5000 x3

Computed properties:
calculated total energy	-4.040	eV/atom
formation energy (no corrections)	-1.09	eV per atom
spin magnetization	2.9	Bohr magnetons per cell

The following is a PBE calculation of Ba4RhBr2F after structural relaxation, from Alexandria via LeMat-Bulk.

abc: 7.533 4.510 8.570
angles: 90.00 105.05 90.00
Space group P2/m (No. 10)
Symmetry-distinct sites (fractional):
Ba: 0.246 0.000 0.285 x2
Ba: 0.251 0.500 0.699 x2
Rh: 0.000 0.000 0.500 x1
Br: 0.000 0.500 0.000 x1
Br: 0.500 0.000 0.000 x1
F: 0.500 0.500 0.500 x1

Computed properties:
calculated total energy	-4.059	eV/atom
formation energy (no corrections)	-1.53	eV per atom
spin magnetization	0.0	Bohr magnetons per cell

The following is a PBE calculation of Ba8Rh3Br4F after structural relaxation, from Alexandria via LeMat-Bulk.

abc: 15.563 8.980 9.716
angles: 90.00 122.27 90.00
Space group C2/m (No. 12)
Symmetry-distinct sites (fractional):
Ba: 0.016 0.247 0.297 x8
Ba: 0.237 0.500 0.704 x4
Ba: 0.240 0.000 0.719 x4
Rh: 0.000 0.000 0.500 x2
Rh: 0.250 0.250 0.500 x4
Br: 0.000 0.000 0.000 x2
Br: 0.000 0.500 0.000 x2
Br: 0.250 0.250 0.000 x4
F: 0.000 0.500 0.500 x2

Computed properties:
calculated total energy	-4.129	eV/atom
formation energy (no corrections)	-1.25	eV per atom
spin magnetization	0.0	Bohr magnetons per cell

The following is a PBE calculation of BaScBrF2 after structural relaxation, from Alexandria via LeMat-Bulk.

abc: 4.438 4.438 5.678
angles: 90.00 90.00 90.00
Space group P4/mmm (No. 123)
Symmetry-distinct sites (fractional):
Ba: 0.000 0.000 0.000 x1
Sc: 0.500 0.500 0.500 x1
Br: 0.500 0.500 0.000 x1
F: 0.000 0.500 0.500 x2

Computed properties:
calculated total energy	-5.100	eV/atom
formation energy (no corrections)	-2.37	eV per atom
spin magnetization	1.5	Bohr magnetons per cell

The following is a PBE calculation of BaSeBr2F after structural relaxation, from Alexandria via LeMat-Bulk.

abc: 5.787 5.787 4.103
angles: 90.00 90.00 90.00
Space group P4/mmm (No. 123)
Symmetry-distinct sites (fractional):
Ba: 0.000 0.000 0.000 x1
Se: 0.500 0.500 0.000 x1
Br: 0.000 0.500 0.500 x2
F: 0.500 0.500 0.500 x1

Computed properties:
calculated total energy	-3.281	eV/atom
formation energy (no corrections)	-1.16	eV per atom
spin magnetization	0.9	Bohr magnetons per cell

The following is a PBE calculation of BaSeBr2F after structural relaxation, from Alexandria via LeMat-Bulk.

abc: 6.264 6.264 7.018
angles: 90.00 90.00 90.00
Space group P4/mmm (No. 123)
Symmetry-distinct sites (fractional):
Ba: 0.000 0.000 0.000 x1
Se: 0.000 0.000 0.500 x1
Br: 0.000 0.500 0.000 x2
F: 0.500 0.500 0.500 x1

Computed properties:
calculated total energy	-2.733	eV/atom
formation energy (no corrections)	-0.61	eV per atom
spin magnetization	3.0	Bohr magnetons per cell

The following is a PBE calculation of Ba2SeBr2F after structural relaxation, from Alexandria via LeMat-Bulk.

abc: 8.376 15.752 5.911
angles: 90.00 90.00 90.00
Space group Ibam (No. 72)
Symmetry-distinct sites (fractional):
Ba: 0.192 0.105 0.000 x8
Se: 0.000 0.500 0.250 x4
Br: 0.165 0.192 0.500 x8
F: 0.000 0.000 0.250 x4

Computed properties:
calculated total energy	-4.458	eV/atom
formation energy (no corrections)	-2.37	eV per atom
spin magnetization	0.0	Bohr magnetons per cell

The following is a PBE calculation of BaSiBrF2 after structural relaxation, from Alexandria via LeMat-Bulk.

abc: 4.939 4.939 6.062
angles: 90.00 90.00 90.00
Space group P4/mmm (No. 123)
Symmetry-distinct sites (fractional):
Ba: 0.000 0.000 0.000 x1
Si: 0.500 0.500 0.000 x1
Br: 0.000 0.000 0.500 x1
F: 0.000 0.500 0.500 x2

Computed properties:
calculated total energy	-2.976	eV/atom
formation energy (no corrections)	-0.42	eV per atom
spin magnetization	1.8	Bohr magnetons per cell

The following is a PBE calculation of Ba2TeBr2F after structural relaxation, from Alexandria via LeMat-Bulk.

abc: 8.773 15.285 6.156
angles: 90.00 90.00 90.00
Space group Ibam (No. 72)
Symmetry-distinct sites (fractional):
Ba: 0.180 0.108 0.000 x8
Te: 0.000 0.500 0.250 x4
Br: 0.164 0.191 0.500 x8
F: 0.000 0.000 0.250 x4

Computed properties:
calculated total energy	-4.389	eV/atom
formation energy (no corrections)	-2.35	eV per atom
spin magnetization	0.0	Bohr magnetons per cell

The following is a PBE calculation of BaTlBr2F after structural relaxation, from Alexandria via LeMat-Bulk.

abc: 6.418 6.418 4.933
angles: 90.00 90.00 90.00
Space group P4/mmm (No. 123)
Symmetry-distinct sites (fractional):
Ba: 0.000 0.000 0.000 x1
Tl: 0.500 0.500 0.500 x1
Br: 0.000 0.500 0.000 x2
F: 0.000 0.000 0.500 x1

Computed properties:
calculated total energy	-3.886	eV/atom
formation energy (no corrections)	-1.98	eV per atom
spin magnetization	0.0	Bohr magnetons per cell